No. 1
NiPdRu2 | PBE | optimized geometry

Output
V: 14.95 Å³ per atom
DFT formation energy: 0.70 eV/atom
Total DFT energy (no corrections): -6.68 eV/atom
Crystal system: tetragonal

abc: 5.5079 5.5079 5.5079
angles: 101.56 101.56 126.81
Atoms (fractional coordinates):
1 Ni 0.0000 0.0000 0.0000
2 Ni 0.7500 0.2500 0.5000
3 Pd 0.2500 0.7500 0.5000
4 Pd 0.5000 0.5000 0.0000
5 Ru 0.0768 0.1250 0.4518
6 Ru 0.3750 0.9232 0.0482
7 Ru 0.6732 0.6250 0.5482
8 Ru 0.8750 0.3268 0.9518

***

No. 2
HoMgBeAg | PBE | optimized geometry

Output
V: 19.25 Å³ per atom
DFT formation energy: -0.06 eV/atom
Total DFT energy (no corrections): -3.25 eV/atom
Crystal system: cubic

abc: 4.7755 4.7755 4.7755
angles: 60.00 60.00 60.00
Atoms (fractional coordinates):
1 Ho 0.0000 0.0000 0.0000
2 Mg 0.5000 0.5000 0.5000
3 Be 0.2500 0.2500 0.2500
4 Ag 0.7500 0.7500 0.7500

***

No. 3
BiAuS2 | PBE | optimized geometry

Output
V: 27.42 Å³ per atom
Total DFT energy (no corrections): -4.04 eV/atom
Crystal system: monoclinic

abc: 8.3792 8.3792 13.4166
angles: 91.04 91.04 111.26
Atoms (fractional coordinates):
1 Bi 0.0645 0.9047 0.8865
2 Bi 0.0953 0.9355 0.6135
3 Bi 0.1025 0.3948 0.8687
4 Bi 0.3948 0.1025 0.3687
5 Bi 0.6052 0.8975 0.6313
6 Bi 0.8975 0.6052 0.1313
7 Bi 0.9047 0.0645 0.3865
8 Bi 0.9355 0.0953 0.1135
9 Au 0.1714 0.5985 0.3860
10 Au 0.2965 0.3908 0.2373
11 Au 0.3908 0.2965 0.7373
12 Au 0.4015 0.8286 0.1140
13 Au 0.5985 0.1714 0.8860
14 Au 0.6092 0.7035 0.2627
15 Au 0.7035 0.6092 0.7627
16 Au 0.8286 0.4015 0.6140
17 S 0.0201 0.3922 0.2653
18 S 0.0765 0.9235 0.2500
19 S 0.1759 0.6817 0.0076
20 S 0.1938 0.2125 0.4958
21 S 0.2125 0.1938 0.9958
22 S 0.3183 0.8241 0.4924
23 S 0.3922 0.0201 0.7653
24 S 0.4151 0.5849 0.7500
25 S 0.5849 0.4151 0.2500
26 S 0.6078 0.9799 0.2347
27 S 0.6817 0.1759 0.5076
28 S 0.7875 0.8062 0.0042
29 S 0.8062 0.7875 0.5042
30 S 0.8241 0.3183 0.9924
31 S 0.9235 0.0765 0.7500
32 S 0.9799 0.6078 0.7347

***

No. 4
InCu2Br | PBE | optimized geometry

Output
V: 19.82 Å³ per atom
Total DFT energy (no corrections): -2.73 eV/atom
Crystal system: tetragonal

abc: 5.1946 5.1946 5.1946
angles: 130.47 130.47 72.66
Atoms (fractional coordinates):
1 In 0.0000 0.0000 0.0000
2 Cu 0.2500 0.7500 0.5000
3 Cu 0.7500 0.2500 0.5000
4 Br 0.5000 0.5000 0.0000

***

No. 5
Tb3DyMg4 | PBE | optimized geometry

Output
V: 27.36 Å³ per atom
DFT formation energy: -0.08 eV/atom
Total DFT energy (no corrections): -3.19 eV/atom
Crystal system: tetragonal

abc: 3.7961 3.7961 15.1891
angles: 90.00 90.00 90.00
Atoms (fractional coordinates):
1 Tb 0.0000 0.0000 0.0000
2 Tb 0.0000 0.0000 0.2507
3 Tb 0.0000 0.0000 0.7493
4 Dy 0.0000 0.0000 0.5000
5 Mg 0.5000 0.5000 0.1254
6 Mg 0.5000 0.5000 0.3759
7 Mg 0.5000 0.5000 0.6241
8 Mg 0.5000 0.5000 0.8746

***

No. 6
Ac15Pm4Sm | PBE | optimized geometry

Output
V: 42.27 Å³ per atom
DFT formation energy: 0.03 eV/atom
Total DFT energy (no corrections): -4.24 eV/atom
Crystal system: tetragonal

abc: 5.5395 5.5395 27.5506
angles: 90.00 90.00 90.00
Atoms (fractional coordinates):
1 Ac 0.0000 0.0000 0.0000
2 Ac 0.0000 0.0000 0.1999
3 Ac 0.0000 0.0000 0.4000
4 Ac 0.0000 0.0000 0.6000
5 Ac 0.0000 0.0000 0.8001
6 Ac 0.0000 0.5000 0.0998
7 Ac 0.0000 0.5000 0.3000
8 Ac 0.0000 0.5000 0.5000
9 Ac 0.0000 0.5000 0.7000
10 Ac 0.0000 0.5000 0.9002
11 Ac 0.5000 0.0000 0.0998
12 Ac 0.5000 0.0000 0.3000
13 Ac 0.5000 0.0000 0.5000
14 Ac 0.5000 0.0000 0.7000
15 Ac 0.5000 0.0000 0.9002
16 Pm 0.5000 0.5000 0.1999
17 Pm 0.5000 0.5000 0.4000
18 Pm 0.5000 0.5000 0.6000
19 Pm 0.5000 0.5000 0.8001
20 Sm 0.5000 0.5000 0.0000